SrAlRu | the Alexandria database | GGA-PBEsol | optimized geometry; ΔE_f = -0.0620 eV per atom; uncorrected energy = -5.43 eV/atom
1.0
3.3581 0.0000 0.0000
0.0000 3.3581 0.0000
-1.6790 -1.6790 5.5258
Al Sr Ru
1 1 1
Direct
0.0514 0.0514 0.1028 Al
0.3281 0.3281 0.6561 Sr
0.6205 0.6205 0.2411 Ru

TaZnOs | the Alexandria database | GGA-PBEsol | optimized geometry; ΔE_f = -0.0339 eV per atom; energy above the most stable polymorph in this dataset = 39.8 meV/atom; uncorrected energy = -8.82 eV/atom
1.0
-0.7203 -2.5249 -0.8530
3.4112 -1.6866 2.1116
-3.8294 0.4077 2.0271
Os Zn Ta
1 1 1
Direct
0.0383 0.0000 0.0000 Os
0.2556 0.6667 0.3333 Zn
0.7061 0.3333 0.6667 Ta

Tb5SbAu2 | the Alexandria database | GGA-PBEsol | optimized geometry; formation energy from raw total energies = -775 meV per atom; uncorrected energy = -5.46 eV/atom
1.0
-2.7410 -7.3305 -1.5826
8.0764 1.7993 -2.1802
5.8455 -3.1440 4.4384
Tb Sb Au
10 2 4
Direct
0.9868 0.2865 0.5132 Tb
0.2997 0.2865 0.2003 Tb
0.7997 0.2865 0.0132 Tb
0.0000 0.0000 0.0000 Tb
0.0132 0.7135 0.4868 Tb
0.2003 0.7135 0.9868 Tb
0.7003 0.7135 0.7997 Tb
0.4868 0.2865 0.7003 Tb
0.5000 0.0000 0.5000 Tb
0.5132 0.7135 0.2997 Tb
0.7500 0.5000 0.2500 Sb
0.2500 0.5000 0.7500 Sb
0.6355 0.0000 0.8645 Au
0.8645 0.0000 0.3645 Au
0.1355 0.0000 0.6355 Au
0.3645 0.0000 0.1355 Au

LaIrI2O | the Alexandria database | GGA-PBEsol | optimized geometry; formation energy from raw total energies = -534 meV per atom; uncorrected energy = -5.32 eV/atom
1.0
3.7971 0.0000 0.0000
0.0000 5.6337 0.0000
0.0000 0.0000 5.6337
I Ir O La
2 1 1 1
Direct
0.0000 0.5000 0.0000 I
0.0000 0.0000 0.5000 I
0.0000 0.0000 0.0000 Ir
0.5000 0.0000 0.0000 O
0.5000 0.5000 0.5000 La

K2VOF4 | the Alexandria database | GGA-PBEsol | optimized geometry; formation energy from raw total energies = -2822 meV per atom; uncorrected energy = -5.93 eV/atom
1.0
-3.2398 4.5446 -0.8259
-1.8909 -0.0604 7.0854
8.8701 6.7641 2.4248
F V O K
16 4 4 8
Direct
0.9737 0.2775 0.8032 F
0.0120 0.0287 0.4099 F
0.9880 0.5287 0.0901 F
0.2572 0.9223 0.1141 F
0.7894 0.7380 0.4994 F
0.0263 0.7775 0.6968 F
0.2428 0.0777 0.6141 F
0.4880 0.9713 0.9099 F
0.2106 0.2380 0.0006 F
0.7572 0.5777 0.8859 F
0.7106 0.2620 0.9994 F
0.7428 0.4223 0.3859 F
0.4737 0.2225 0.1968 F
0.5263 0.7225 0.3032 F
0.5120 0.4713 0.5901 F
0.2894 0.7620 0.5006 F
0.4799 0.5657 0.4330 V
0.5201 0.0657 0.0670 V
0.0201 0.4343 0.9330 V
0.9799 0.9343 0.5670 V
0.7644 0.0608 0.6143 O
0.2644 0.4392 0.3857 O
0.7356 0.9392 0.1143 O
0.2356 0.5608 0.8857 O
0.9975 0.2348 0.2219 K
0.0025 0.7348 0.2781 K
0.4952 0.0821 0.4124 K
0.4975 0.2652 0.7781 K
0.9952 0.4179 0.5876 K
0.5025 0.7652 0.7219 K
0.5048 0.5821 0.0876 K
0.0048 0.9179 0.9124 K

BaTlPb | the Alexandria database | GGA-PBEsol | optimized geometry; ΔE_f = -0.4343 eV per atom; uncorrected energy = -3.36 eV/atom
1.0
-0.2083 -1.6738 4.5383
4.7488 -1.6352 -0.3851
-0.9317 4.6582 1.6753
Pb Ba Tl
1 1 1
Direct
0.5907 0.3333 0.6667 Pb
0.0088 0.0000 0.0000 Ba
0.4005 0.6667 0.3333 Tl